No. 1
Pm2Tm3Ge4 | PBE | relaxed

abc: 7.5943 7.8844 7.8011
angles: 90.00 90.00 111.16
Sites, in units of the cell vectors:
1 Tm 0.7636 0.7578 0.3355
2 Tm 0.7364 0.2422 0.8355
3 Tm 0.2364 0.2422 0.6645
4 Tm 0.0000 0.5000 0.5000
5 Tm 0.2636 0.7578 0.1645
6 Tm 0.5000 0.5000 0.0000
7 Ge 0.6638 0.9136 0.0401
8 Ge 0.8362 0.0864 0.5401
9 Ge 0.3362 0.0864 0.9599
10 Ge 0.6318 0.5071 0.6315
11 Ge 0.3682 0.4929 0.3685
12 Ge 0.1638 0.9136 0.4599
13 Ge 0.1318 0.5071 0.8685
14 Ge 0.8682 0.4929 0.1315
15 Pm 0.9346 0.8046 0.8200
16 Pm 0.5654 0.1954 0.3200
17 Pm 0.0654 0.1954 0.1800
18 Pm 0.4346 0.8046 0.6800

Computed properties:
The total DFT energy (no corrections) is -5.481 eV per atom.



No. 2
PmTmGe | PBE | relaxed

abc: 4.2342 4.7323 4.7323
angles: 120.00 90.00 90.00
Sites, in units of the cell vectors:
1 Ge 0.4248 0.6667 0.3333
2 Pm 0.0280 0.0000 0.0000
3 Tm 0.5472 0.3333 0.6667

Computed properties:
The offset from the most stable computed form is 0.1883 eV per atom.



No. 3
Pm2TmGe | PBE | relaxed

abc: 3.6410 3.6410 11.1771
angles: 80.63 80.63 60.00
Sites, in units of the cell vectors:
1 Tm 0.0000 0.0000 0.0000
2 Pm 0.8966 0.8966 0.3102
3 Pm 0.1034 0.1034 0.6898
4 Ge 0.5000 0.5000 0.5000

Computed properties:
The offset from the most stable computed form is 0.3310 eV per atom.



No. 4
PmTmGe4 | PBE | relaxed

abc: 5.6566 5.6566 5.6566
angles: 60.00 60.00 60.00
Sites, in units of the cell vectors:
1 Ge 0.1284 0.6239 0.6239
2 Ge 0.6239 0.6239 0.6239
3 Ge 0.6239 0.6239 0.1284
4 Ge 0.6239 0.1284 0.6239
5 Pm 0.0000 0.0000 0.0000
6 Tm 0.2500 0.2500 0.2500

Computed properties:
The total DFT energy (no corrections) is -4.924 eV per atom.



No. 5
Pm3Tm2Ge3 | PBE | relaxed

abc: 4.0277 4.9075 10.8389
angles: 103.08 100.71 90.00
Sites, in units of the cell vectors:
1 Tm 0.2648 0.7648 0.5296
2 Tm 0.7352 0.2352 0.4704
3 Ge 0.1347 0.1347 0.2694
4 Ge 0.8653 0.8653 0.7306
5 Ge 0.0000 0.5000 0.0000
6 Pm 0.5000 0.0000 0.0000
7 Pm 0.3847 0.3847 0.7693
8 Pm 0.6153 0.6153 0.2307

Computed properties:
The total DFT energy (no corrections) is -5.172 eV per atom.



No. 6
PmTmGe3 | PBE | relaxed

abc: 3.9862 4.1821 13.6981
angles: 98.78 90.00 90.00
Sites, in units of the cell vectors:
1 Ge 0.7500 0.3116 0.6232
2 Ge 0.7500 0.5292 0.0584
3 Ge 0.2500 0.3751 0.7501
4 Ge 0.2500 0.4708 0.9416
5 Ge 0.2500 0.6884 0.3768
6 Ge 0.7500 0.6249 0.2499
7 Tm 0.7500 0.2045 0.4090
8 Tm 0.2500 0.7955 0.5910
9 Pm 0.7500 0.9260 0.8520
10 Pm 0.2500 0.0740 0.1480

Computed properties:
The total DFT energy (no corrections) is -5.294 eV per atom.



No. 7
Pm3Tm4Ge4 | PBE | relaxed

abc: 4.0815 8.8456 9.3419
angles: 118.26 102.62 90.00
Each line ends with the local moment (μB).
Sites, in units of the cell vectors:
1 Tm 0.6712 0.4790 0.3423  0.32
2 Tm 0.3288 0.1367 0.6577  0.32
3 Tm 0.3288 0.5210 0.6577  0.32
4 Tm 0.6712 0.8633 0.3423  0.32
5 Ge 0.5000 0.2161 0.0000  0.00
6 Ge 0.7524 0.2524 0.5047  -0.01
7 Ge 0.2476 0.7476 0.4953  -0.01
8 Ge 0.5000 0.7839 0.0000  0.00
9 Pm 0.0000 0.5000 0.0000  0.01
10 Pm 0.8936 0.8936 0.7872  0.13
11 Pm 0.1064 0.1064 0.2128  0.13

Computed properties:
The total DFT energy (no corrections) is -5.237 eV per atom.



No. 8
Pm2TmGe3 | PBE | relaxed

abc: 4.2311 5.9481 7.2541
angles: 114.20 106.96 90.00
Sites, in units of the cell vectors:
1 Ge 0.0000 0.0000 0.0000
2 Ge 0.3404 0.3404 0.6808
3 Ge 0.6596 0.6596 0.3192
4 Pm 0.6692 0.1692 0.3384
5 Pm 0.3308 0.8308 0.6616
6 Tm 0.0000 0.5000 0.0000

Computed properties:
The total DFT energy (no corrections) is -5.281 eV per atom.



No. 9
Pm4TmGe2 | PBE | relaxed

abc: 4.9887 4.9887 10.3540
angles: 76.06 76.06 60.00
Sites, in units of the cell vectors:
1 Ge 0.4011 0.4011 0.7966
2 Ge 0.5989 0.5989 0.2034
3 Pm 0.1074 0.1074 0.6777
4 Pm 0.2973 0.2973 0.1082
5 Pm 0.8926 0.8926 0.3223
6 Pm 0.7027 0.7027 0.8918
7 Tm 0.5000 0.5000 0.5000

Computed properties:
The total DFT energy (no corrections) is -5.020 eV per atom.



No. 10
Pm2TmGe | PBE | relaxed

abc: 4.7704 4.7087 4.7087
angles: 90.00 90.00 90.00
Sites, in units of the cell vectors:
1 Ge 0.5000 0.0000 0.0000
2 Pm 0.0000 0.5000 0.0000
3 Pm 0.0000 0.0000 0.5000
4 Tm 0.5000 0.5000 0.5000

Computed properties:
The offset from the most stable computed form is 0.0000 eV per atom.



No. 11
PmTm2Ge4 | PBE | relaxed

abc: 4.0173 4.2316 9.5981
angles: 102.73 102.08 90.00
Sites, in units of the cell vectors:
1 Ge 0.6611 0.6611 0.3222
2 Ge 0.0682 0.5682 0.1363
3 Ge 0.3389 0.3389 0.6778
4 Ge 0.9318 0.4318 0.8637
5 Pm 0.5000 0.0000 0.0000
6 Tm 0.1818 0.1818 0.3636
7 Tm 0.8182 0.8182 0.6364

Computed properties:
The total DFT energy (no corrections) is -5.327 eV per atom.



No. 12
PmTmGe | PBE | relaxed

abc: 4.8823 4.9467 7.0749
angles: 90.00 110.18 90.00
Sites, in units of the cell vectors:
1 Tm 0.6118 0.0136 0.2236
2 Tm 0.3882 0.5136 0.7764
3 Pm 0.8936 0.0136 0.7872
4 Pm 0.1064 0.5136 0.2128
5 Ge 0.7497 0.5138 0.4994
6 Ge 0.2503 0.0138 0.5006

Computed properties:
The offset from the most stable computed form is 0.1882 eV per atom.